# 1
Computed, not measured: SrCaW2 after structural relaxation at the PBE level of DFT.

abc: 5.906 5.906 6.345
angles: 64.08 64.08 36.96
Positions (direct):
Sr 0.250 0.250 0.250
W 0.498 0.498 0.626
W 0.002 0.002 0.874
Ca 0.750 0.750 0.750

SG: C2/m, No. 12
ΔE_f: 1.054 eV per atom
final energy: -6.34 eV/atom
energy above the most stable polymorph in this dataset: 45.99 kJ per mole of atoms



# 2
Computed, not measured: SrCa2W2 after structural relaxation at the PBE level of DFT.

abc: 4.919 4.919 7.481
angles: 70.81 70.81 90.00
Positions (direct):
W 0.582 0.582 0.835
W 0.418 0.418 0.165
Sr 0.000 0.000 0.000
Ca 0.250 0.750 0.500
Ca 0.750 0.250 0.500

SG: I4/mmm, No. 139
ΔE_f: 1.147 eV per atom
final energy: -5.17 eV/atom
energy above the most stable polymorph in this dataset: 44.64 kJ per mole of atoms



# 3
Computed, not measured: SrCaW2 after structural relaxation at the PBE level of DFT.

abc: 3.441 3.441 9.396
angles: 90.00 90.00 90.01
Positions (direct):
W 0.000 0.000 0.078
W 0.500 0.500 0.183
Ca 0.000 0.000 0.425
Sr 0.500 0.500 0.813

SG: P4mm, No. 99
ΔE_f: 0.578 eV per atom
final energy: -6.82 eV/atom
energy above the most stable polymorph in this dataset: 0.00 kJ per mole of atoms



# 4
Computed, not measured: SrCaW2 after structural relaxation at the PBE level of DFT.

abc: 11.172 11.172 11.172
angles: 15.55 15.55 15.55
Positions (direct):
Ca 0.250 0.250 0.250
Sr 0.750 0.750 0.750
W 0.503 0.503 0.503
W 0.997 0.997 0.997

SG: R-3m, No. 166
ΔE_f: 1.319 eV per atom
final energy: -6.08 eV/atom
energy above the most stable polymorph in this dataset: 71.50 kJ per mole of atoms



# 5
Computed, not measured: SrCaW2 after structural relaxation at the PBE level of DFT.

abc: 5.235 2.860 7.107
angles: 67.91 90.00 90.00
Positions (direct):
Sr 0.500 0.750 0.750
W 0.000 0.028 0.071
W 0.000 0.472 0.429
Ca 0.500 0.250 0.250

SG: P2/m, No. 10
ΔE_f: 1.108 eV per atom
final energy: -6.29 eV/atom
energy above the most stable polymorph in this dataset: 51.20 kJ per mole of atoms



# 6
Computed, not measured: SrCaW4 after structural relaxation at the PBE level of DFT.

abc: 5.621 5.621 5.621
angles: 60.00 60.00 60.00
Positions (direct):
W 0.875 0.375 0.375
W 0.375 0.375 0.375
W 0.375 0.375 0.875
W 0.375 0.875 0.375
Sr 0.000 0.000 0.000
Ca 0.750 0.750 0.750

SG: F-43m, No. 216
ΔE_f: 0.760 eV per atom
final energy: -8.49 eV/atom



# 7
Computed, not measured: SrCaW2 after structural relaxation at the PBE level of DFT.

abc: 5.224 5.224 5.224
angles: 60.00 60.00 60.00
Each line ends with the local moment (μB).
Positions (direct):
Sr 0.500 0.500 0.500  0.12
Ca 0.000 0.000 0.000  0.11
W 0.750 0.750 0.750  1.92
W 0.250 0.250 0.250  1.92

SG: Fm-3m, No. 225
ΔE_f: 1.878 eV per atom
final energy: -5.52 eV/atom
energy above the most stable polymorph in this dataset: 125.46 kJ per mole of atoms



# 8
Computed, not measured: SrCaW2 after structural relaxation at the PBE level of DFT.

abc: 7.654 4.401 7.652
angles: 106.71 146.65 89.98
Positions (direct):
W 0.288 0.711 0.423
W 0.955 0.046 0.092
Sr 0.724 0.275 0.550
Ca 0.533 0.468 0.936

SG: Cm, No. 8
ΔE_f: 0.714 eV per atom
final energy: -6.68 eV/atom
energy above the most stable polymorph in this dataset: 13.19 kJ per mole of atoms



| no. | calculated volume (Å³ per cell) |
| --- | --- |
| 1 | 118 |
| 2 | 160 |
| 3 | 111 |
| 4 | 87 |
| 5 | 99 |
| 6 | 126 |
| 7 | 101 |
| 8 | 121 |